Record 1
# Be2NF GGA-PBE relaxed
data_Be2NF
_symmetry_space_group_name_H-M 'P 1'
_symmetry_Int_Tables_number 1
_cell_length_a 3.403
_cell_length_b 3.403
_cell_length_c 3.403
_cell_angle_alpha 60.00
_cell_angle_beta 60.00
_cell_angle_gamma 60.00
loop_
_symmetry_equiv_pos_as_xyz
'x,y,z'
loop_
_atom_site_label
_atom_site_fract_x
_atom_site_fract_y
_atom_site_fract_z
F1 0.500 0.500 0.500
N1 0.000 0.000 0.000
Be1 0.750 0.750 0.750
Be2 0.250 0.250 0.250
# mass density = 3.04 g/cm³
# relative energy among the computed polymorphs = 1383 meV/atom
# DFT total energy = -4.87 eV/atom
# density of states at the Fermi level = 0.000 states/eV/cell
# calculated volume = 6.96 Å³ per atom
# energy relative to the elements, uncorrected = -1.839 eV/f.u.
# space-group type = Fm-3m (225)

=====

Record 2
# Be2NF GGA-PBE relaxed
data_Be2NF
_symmetry_space_group_name_H-M 'P 1'
_symmetry_Int_Tables_number 1
_cell_length_a 3.995
_cell_length_b 3.995
_cell_length_c 4.947
_cell_angle_alpha 66.19
_cell_angle_beta 66.19
_cell_angle_gamma 90.00
loop_
_symmetry_equiv_pos_as_xyz
'x,y,z'
loop_
_atom_site_label
_atom_site_fract_x
_atom_site_fract_y
_atom_site_fract_z
Be1 0.875 0.812 0.750
Be2 0.562 0.125 0.250
Be3 0.188 0.625 0.250
Be4 0.375 0.438 0.750
F1 0.750 0.250 0.500
F2 0.000 0.000 0.000
N1 0.500 0.500 0.000
N2 0.250 0.750 0.500
# mass density = 2.61 g/cm³
# relative energy among the computed polymorphs = 125 meV/atom
# DFT total energy = -6.13 eV/atom
# density of states at the Fermi level = 0.000 states/eV/cell
# calculated volume = 8.10 Å³ per atom
# energy relative to the elements, uncorrected = -6.870 eV/f.u.
# space-group type = I-42d (122)

=====

Record 3
# Be2NF GGA-PBE relaxed
data_Be2NF
_symmetry_space_group_name_H-M 'P 1'
_symmetry_Int_Tables_number 1
_cell_length_a 2.758
_cell_length_b 2.758
_cell_length_c 4.889
_cell_angle_alpha 73.61
_cell_angle_beta 73.61
_cell_angle_gamma 60.00
loop_
_symmetry_equiv_pos_as_xyz
'x,y,z'
loop_
_atom_site_label
_atom_site_fract_x
_atom_site_fract_y
_atom_site_fract_z
Be1 0.888 0.888 0.337
Be2 0.112 0.112 0.663
N1 0.500 0.500 0.500
F1 0.000 0.000 0.000
# mass density = 2.78 g/cm³
# relative energy among the computed polymorphs = 0 meV/atom
# DFT total energy = -6.25 eV/atom
# density of states at the Fermi level = 0.000 states/eV/cell
# calculated volume = 7.61 Å³ per atom
# energy relative to the elements, uncorrected = -7.371 eV/f.u.
# space-group type = R-3m (166)

=====

Record 4
# BeNF2 GGA-PBE relaxed
data_BeNF2
_symmetry_space_group_name_H-M 'P 1'
_symmetry_Int_Tables_number 1
_cell_length_a 5.159
_cell_length_b 5.159
_cell_length_c 5.161
_cell_angle_alpha 60.01
_cell_angle_beta 60.01
_cell_angle_gamma 90.00
loop_
_symmetry_equiv_pos_as_xyz
'x,y,z'
loop_
_atom_site_label
_atom_site_fract_x
_atom_site_fract_y
_atom_site_fract_z
F1 0.375 0.125 0.250
F2 0.875 0.625 0.750
F3 0.375 0.625 0.250
F4 0.375 0.625 0.750
Be1 0.250 0.750 0.500
Be2 0.500 0.500 0.000
N1 0.000 0.000 0.000
N2 0.750 0.250 0.500
# mass density = 2.09 g/cm³
# relative energy among the computed polymorphs = 0 meV/atom
# DFT total energy = -5.05 eV/atom
# density of states at the Fermi level = 0.000 states/eV/cell
# calculated volume = 12.15 Å³ per atom
# energy relative to the elements, uncorrected = -4.413 eV/f.u.
# space-group type = Fd-3m (227)